# 1
Material: LaNd2DyBi4
Method: DFT, PBE
State: optimized geometry

Values from the calculation:
- energy of formation from the pure elements (kcal/mol of atoms) = -21.8

```
LaNd2DyBi4
1.0
-1.675 -4.225 0.753
3.554 -2.593 -6.650
7.325 -2.592 1.744
Dy Bi Nd La
1 4 2 1
Cartesian
5.439 -2.593 -2.453 Dy
3.696 -4.713 -4.133 Bi
8.117 -3.874 -3.688 Bi
5.509 -4.698 -0.020 Bi
1.087 -5.537 -0.465 Bi
7.325 -2.592 1.744 Nd
2.825 -3.409 1.248 Nd
0.940 -3.409 -2.949 La
```

=====

# 2
Material: Ce2Er2Si4Os
Method: DFT, PBE
State: optimized geometry

Values from the calculation:
- raw formation energy (meV per atom) = -317

```
Ce2Er2Si4Os
1.0
-1.163 -5.756 -2.535
3.981 3.542 -3.537
3.045 -0.300 5.616
Er Ce Si Os
2 2 4 1
Cartesian
2.698 -2.218 2.061 Er
3.166 -0.297 -2.516 Er
2.263 1.044 0.670 Ce
4.763 2.198 1.409 Ce
3.754 2.609 -1.314 Si
4.721 -0.505 0.271 Si
3.272 0.633 3.393 Si
1.142 -2.009 -0.726 Si
0.000 0.000 0.000 Os
```

=====

# 3
Material: Tb2Nd2HoEr4
Method: DFT, PBE
State: optimized geometry

Values from the calculation:
- energy of formation from the pure elements (kcal/mol of atoms) = 0.0

```
Tb2Nd2HoEr4
1.0
3.590 0.000 0.000
-1.795 9.299 -0.489
0.000 -3.683 8.798
Er Nd Ho Tb
4 2 1 2
Cartesian
1.795 3.409 5.532 Er
0.000 2.208 2.778 Er
0.000 6.485 5.386 Er
1.795 -0.868 2.924 Er
0.000 6.225 -0.326 Nd
1.795 -0.609 8.635 Nd
0.000 0.000 0.000 Ho
1.795 5.322 2.628 Tb
0.000 0.295 5.681 Tb
```

=====

Results for Fermi-level density of states: 1.06 4.99 12.26 (in states/eV/f.u., following the order of the records).